A plane-wave DFT calculation with PBE-GGA was carried out for crystalline Rb3Sb2Au5 at its relaxed geometry.

Lattice parameters (Å, degrees): 9.972 9.972 9.972 115.13 81.87 135.78
Atoms (fractional coordinates):
1 Rb 0.112 0.735 0.846
2 Rb 0.250 0.250 0.000
3 Rb 0.388 0.235 0.623
4 Rb 0.612 0.765 0.377
5 Rb 0.750 0.750 0.000
6 Rb 0.888 0.265 0.154
7 Sb 0.166 0.152 0.317
8 Sb 0.334 0.652 0.986
9 Sb 0.666 0.348 0.014
10 Sb 0.834 0.848 0.683
11 Au 0.012 0.250 0.762
12 Au 0.125 0.399 0.525
13 Au 0.250 0.750 0.500
14 Au 0.375 0.899 0.274
15 Au 0.488 0.250 0.238
16 Au 0.512 0.750 0.762
17 Au 0.625 0.101 0.726
18 Au 0.750 0.250 0.500
19 Au 0.875 0.601 0.475
20 Au 0.988 0.750 0.238

Results
The space-group type is No. 72. Its magnetic moment is 0.0 Bohr magnetons per cell. The formation energy from raw total energies is -0.16 eV per atom.

A plane-wave DFT calculation with PBE-GGA was carried out for crystalline Tb3Sm2YS6 at its relaxed geometry.

Lattice parameters (Å, degrees): 6.851 6.851 6.848 99.57 99.57 120.19
Atoms (fractional coordinates):
1 Tb 0.000 0.000 0.000
2 Tb 0.331 0.669 0.000
3 Tb 0.669 0.331 0.000
4 Sm 0.167 0.833 0.500
5 Sm 0.833 0.167 0.500
6 Y 0.500 0.500 0.500
7 S 0.087 0.415 0.246
8 S 0.257 0.257 0.756
9 S 0.415 0.087 0.246
10 S 0.585 0.913 0.754
11 S 0.743 0.743 0.244
12 S 0.913 0.585 0.754

Results
The space-group type is No. 12. Its magnetic moment is 0.0 Bohr magnetons per cell. The formation energy from raw total energies is -2.02 eV per atom.

A plane-wave DFT calculation with PBE-GGA was carried out for crystalline Ca3Pu2TaAs6 at its relaxed geometry.

Lattice parameters (Å, degrees): 7.056 7.056 7.184 99.49 99.49 120.03
Atoms (fractional coordinates):
1 Ca 0.000 0.000 0.000
2 Ca 0.329 0.671 0.000
3 Ca 0.671 0.329 0.000
4 Pu 0.166 0.834 0.500
5 Pu 0.834 0.166 0.500
6 Ta 0.500 0.500 0.500
7 As 0.110 0.425 0.275
8 As 0.262 0.262 0.727
9 As 0.425 0.110 0.275
10 As 0.575 0.890 0.725
11 As 0.738 0.738 0.273
12 As 0.890 0.575 0.725

Results
The space-group type is No. 12. Its magnetic moment is 9.0 Bohr magnetons per cell. Its calculated total energy is -7.15 eV/atom.

A plane-wave DFT calculation with PBE-GGA was carried out for crystalline BeVPI2 at its relaxed geometry.

Lattice parameters (Å, degrees): 5.741 5.741 4.628 90.00 90.00 90.00
Atoms (fractional coordinates):
1 Be 0.000 0.000 0.000
2 V 0.500 0.500 0.000
3 P 0.500 0.500 0.500
4 I 0.000 0.500 0.500
5 I 0.500 0.000 0.500

Results
The space-group type is No. 123. Its magnetic moment is 3.1 Bohr magnetons per cell. The formation energy from raw total energies is 1.02 eV per atom.

A plane-wave DFT calculation with PBE-GGA was carried out for crystalline ScC2 at its relaxed geometry.

Lattice parameters (Å, degrees): 3.973 3.973 4.628 90.00 90.00 120.00
Atoms (fractional coordinates):
1 Sc 0.333 0.667 0.250
2 Sc 0.667 0.333 0.750
3 C 0.000 0.000 0.000
4 C 0.000 0.000 0.500
5 C 0.333 0.667 0.750
6 C 0.667 0.333 0.250

Results
The space-group type is No. 194. Its magnetic moment is 0.0 Bohr magnetons per cell. Its calculated total energy is -6.81 eV/atom.

A plane-wave DFT calculation with PBE-GGA was carried out for crystalline Li3HfP at its relaxed geometry.

Lattice parameters (Å, degrees): 5.109 5.109 5.109 90.00 90.00 90.00
Atoms (fractional coordinates):
1 Li 0.000 0.000 0.500
2 Li 0.000 0.500 0.000
3 Li 0.500 0.000 0.000
4 Hf 0.000 0.000 0.000
5 P 0.500 0.500 0.500

Results
The space-group type is No. 221. Its magnetic moment is 2.1 Bohr magnetons per cell. Its calculated total energy is -2.75 eV/atom.

A plane-wave DFT calculation with PBE-GGA was carried out for crystalline CuOs2Cl at its relaxed geometry.

Lattice parameters (Å, degrees): 2.858 2.858 24.737 90.00 90.00 120.00
Atoms (fractional coordinates):
1 Cu 0.000 0.000 0.000
2 Cu 0.333 0.667 0.667
3 Cu 0.667 0.333 0.333
4 Os 0.000 0.000 0.500
5 Os 0.000 0.000 0.753
6 Os 0.333 0.667 0.167
7 Os 0.333 0.667 0.420
8 Os 0.667 0.333 0.086
9 Os 0.667 0.333 0.834
10 Cl 0.000 0.000 0.257
11 Cl 0.333 0.667 0.923
12 Cl 0.667 0.333 0.590

Results
The space-group type is No. 160. Its magnetic moment is 0.0 Bohr magnetons per cell. The formation energy from raw total energies is 0.45 eV per atom.

A plane-wave DFT calculation with PBE-GGA was carried out for crystalline ZnGaOs2S at its relaxed geometry.

Lattice parameters (Å, degrees): 4.657 4.657 4.523 90.00 90.00 90.00
Atoms (fractional coordinates):
1 Zn 0.000 0.000 0.000
2 Ga 0.500 0.500 0.500
3 Os 0.000 0.500 0.500
4 Os 0.500 0.000 0.500
5 S 0.500 0.500 0.000

Results
The space-group type is No. 123. Its magnetic moment is 2.8 Bohr magnetons per cell. The formation energy from raw total energies is 1.78 eV per atom.

A plane-wave DFT calculation with PBE-GGA was carried out for crystalline Pr5DyP6 at its relaxed geometry.

Lattice parameters (Å, degrees): 7.228 7.228 7.229 99.61 99.61 119.98
Atoms (fractional coordinates):
1 Pr 0.000 0.000 0.000
2 Pr 0.166 0.834 0.500
3 Pr 0.332 0.668 0.000
4 Pr 0.668 0.332 0.000
5 Pr 0.834 0.166 0.500
6 Dy 0.500 0.500 0.500
7 P 0.091 0.418 0.254
8 P 0.255 0.255 0.747
9 P 0.418 0.091 0.254
10 P 0.582 0.909 0.746
11 P 0.745 0.745 0.253
12 P 0.909 0.582 0.746

Results
The space-group type is No. 12. Its magnetic moment is 0.0 Bohr magnetons per cell. Its calculated total energy is -6.60 eV/atom.

A plane-wave DFT calculation with PBE-GGA was carried out for crystalline LiTiCr2P at its relaxed geometry.

Lattice parameters (Å, degrees): 4.110 4.110 4.213 90.00 90.00 90.00
Atoms (fractional coordinates):
1 Li 0.000 0.000 0.000
2 Ti 0.000 0.000 0.500
3 Cr 0.000 0.500 0.000
4 Cr 0.500 0.000 0.000
5 P 0.500 0.500 0.500

Results
The space-group type is No. 123. Its magnetic moment is 4.5 Bohr magnetons per cell. Its calculated total energy is -5.91 eV/atom.

A plane-wave DFT calculation with PBE-GGA was carried out for crystalline Tb7Sm16Dy6 at its relaxed geometry.

Lattice parameters (Å, degrees): 11.239 11.239 11.239 60.00 60.00 60.00
Atoms (fractional coordinates):
1 Tb 0.000 0.000 0.000
2 Tb 0.000 0.000 0.500
3 Tb 0.000 0.500 0.000
4 Tb 0.000 0.500 0.500
5 Tb 0.500 0.000 0.000
6 Tb 0.500 0.000 0.500
7 Tb 0.500 0.500 0.000
8 Sm 0.049 0.650 0.650
9 Sm 0.125 0.125 0.125
10 Sm 0.125 0.125 0.625
11 Sm 0.125 0.625 0.125
12 Sm 0.350 0.350 0.350
13 Sm 0.350 0.350 0.951
14 Sm 0.350 0.951 0.350
15 Sm 0.375 0.875 0.875
16 Sm 0.625 0.125 0.125
17 Sm 0.650 0.049 0.650
18 Sm 0.650 0.650 0.049
19 Sm 0.650 0.650 0.650
20 Sm 0.875 0.375 0.875
21 Sm 0.875 0.875 0.375
22 Sm 0.875 0.875 0.875
23 Sm 0.951 0.350 0.350
24 Dy 0.268 0.268 0.732
25 Dy 0.268 0.732 0.268
26 Dy 0.268 0.732 0.732
27 Dy 0.732 0.268 0.268
28 Dy 0.732 0.268 0.732
29 Dy 0.732 0.732 0.268

Results
The space-group type is No. 225. Its magnetic moment is 0.0 Bohr magnetons per cell. Its calculated total energy is -4.45 eV/atom.

A plane-wave DFT calculation with PBE-GGA was carried out for crystalline Al2TlV at its relaxed geometry.

Lattice parameters (Å, degrees): 7.638 7.638 5.599 90.00 90.00 90.00
Atoms (fractional coordinates):
1 Al 0.226 0.250 0.125
2 Al 0.250 0.726 0.375
3 Al 0.250 0.774 0.875
4 Al 0.274 0.250 0.625
5 Al 0.726 0.750 0.625
6 Al 0.750 0.226 0.875
7 Al 0.750 0.274 0.375
8 Al 0.774 0.750 0.125
9 Tl 0.000 0.000 0.500
10 Tl 0.000 0.500 0.750
11 Tl 0.500 0.000 0.250
12 Tl 0.500 0.500 0.000
13 V 0.000 0.000 0.000
14 V 0.000 0.500 0.250
15 V 0.500 0.000 0.750
16 V 0.500 0.500 0.500

Results
The space-group type is No. 122. Its magnetic moment is 7.9 Bohr magnetons per cell. Its calculated total energy is -4.15 eV/atom.